Material: HoSi2Tc
Method: DFT, GGA-PBE
State: relaxed

* polymorph energy (0 for the lowest one): 0.013 eV/atom
* total magnetic moment: 0.00 μB/atom
* formation energy from raw total energies: -0.68 eV/atom
* density of states at the Fermi level: 5.720 states/eV/cell

a = 6.570 Å, b = 6.228 Å, c = 6.739 Å
α = 90.00°, β = 90.00°, γ = 90.00°
Space group Pnma (No. 62)
One atom of each set of equivalent atoms:
Ho 0.012 0.250 0.169 [4 per cell]
Si 0.172 0.063 0.549 [8 per cell]
Tc 0.152 0.750 0.332 [4 per cell]